{
  "formula": "CsFeBiF6",
  "functional": "GGA+U",
  "state": "optimized geometry",
  "lattice": [[5.9476, -0.0409, -0.0053], [2.9385, 5.1711, 0.0053], [-0.0054, 0.0093, 6.3842]],
  "species": ["Cs", "Fe", "Bi", "F", "F", "F", "F", "F", "F"],
  "fractional_positions": [[0.0004, 0.0004, 0.0000], [0.3311, 0.3312, 0.5000], [0.6666, 0.6666, 0.5000], [0.0209, 0.3821, 0.3118], [0.3821, 0.0209, 0.6881], [0.6047, 0.3703, 0.6858], [0.0173, 0.6064, 0.6879], [0.3702, 0.6047, 0.3143], [0.6065, 0.0174, 0.3120]],
  "vol_a3_per_fu": 197.1,
  "n_ef_per_ev_atom": 0.000,
  "space_group": "No. 5",
  "energy_ha_per_atom": -0.18168
}